[1]
Computed, not measured: a relaxed Ce2Zn2Sn crystal at the PBE-GGA level of DFT.

Lattice parameters (Å, degrees): 3.674 3.674 9.779 100.83 100.83 90.00
Each line ends with the local moment (μB).
Positions (direct):
Sn 0.000 0.000 0.000  -0.02
Zn 0.750 0.250 0.500  0.01
Ce 0.608 0.608 0.216  0.87
Ce 0.392 0.392 0.784  0.87
Zn 0.250 0.750 0.500  0.01

Calculated values
Magnetic moment: 2.21 Bohr magnetons per cell
ΔH_f (0 K): -153 meV/atom
Space-group type: I4/mmm, No. 139
DOS at the Fermi energy: 15.6 states/eV/f.u.

=====

[2]
Computed, not measured: a relaxed InAgSn3 crystal at the PBE-GGA level of DFT.

Lattice parameters (Å, degrees): 5.395 5.395 5.395 90.00 90.00 90.00
Positions (direct):
Ag 0.000 0.000 0.000
Sn 0.000 0.500 0.000
In 0.500 0.500 0.500
Sn 0.000 0.000 0.500
Sn 0.500 0.000 0.000

Calculated values
Magnetic moment: 0.00 Bohr magnetons per cell
ΔH_f (0 K): 378 meV/atom
Space-group type: Pm-3m, No. 221
DOS at the Fermi energy: 2.1 states/eV/f.u.
Energy above the lowest structure with this stoichiometry: 320.5 meV per atom

=====

[3]
Computed, not measured: a relaxed CdRuAu2 crystal at the PBE-GGA level of DFT.

Lattice parameters (Å, degrees): 5.040 5.040 5.059 80.12 80.12 33.55
Each line ends with the local moment (μB).
Positions (direct):
Au 0.750 0.750 0.750  0.01
Cd 0.504 0.504 0.495  -0.01
Ru 0.251 0.251 0.246  0.81
Au 0.995 0.995 0.009  0.02

Calculated values
Magnetic moment: 0.86 Bohr magnetons per cell
ΔH_f (0 K): 235 meV/atom
Space-group type: Cm, No. 8
DOS at the Fermi energy: 3.6 states/eV/f.u.

=====

[4]
Computed, not measured: a relaxed YGe2Mo crystal at the PBE-GGA level of DFT.

Lattice parameters (Å, degrees): 4.705 4.705 4.705 60.00 60.00 60.00
Positions (direct):
Mo 0.500 0.500 0.500
Ge 0.250 0.250 0.250
Ge 0.750 0.750 0.750
Y 0.000 0.000 0.000

Calculated values
Magnetic moment: 0.00 Bohr magnetons per cell
ΔH_f (0 K): -153 meV/atom
Space-group type: Fm-3m, No. 225
DOS at the Fermi energy: 3.3 states/eV/f.u.
Energy above the lowest structure with this stoichiometry: 159.7 meV per atom

=====

[5]
Computed, not measured: a relaxed Mn2AlSe crystal at the PBE-GGA level of DFT.

Lattice parameters (Å, degrees): 7.845 7.845 7.845 22.95 22.95 22.95
Each line ends with the local moment (μB).
Positions (direct):
Al 0.250 0.250 0.250  -0.06
Mn 0.497 0.497 0.497  3.28
Se 0.750 0.750 0.750  -0.07
Mn 0.003 0.003 0.003  3.28

Calculated values
Magnetic moment: 6.65 Bohr magnetons per cell
Space-group type: R-3m, No. 166
DOS at the Fermi energy: 3.3 states/eV/f.u.
Energy above the lowest structure with this stoichiometry: 98.0 meV per atom

=====

[6]
Computed, not measured: a relaxed HoCl5 crystal at the PBE-GGA level of DFT.

Lattice parameters (Å, degrees): 3.954 5.269 11.488 90.00 92.84 90.00
Positions (direct):
Cl 0.596 0.000 0.025
Cl 0.555 0.000 0.197
Cl 0.568 0.500 0.765
Ho 0.046 0.500 0.611
Cl 0.524 0.500 0.457
Cl 0.046 0.000 0.611

Calculated values
Magnetic moment: 0.00 Bohr magnetons per cell
Space-group type: Pm, No. 6
DOS at the Fermi energy: 0.0 states/eV/f.u.

=====

Listing E for the structures above in their given order: -19.182; -15.707; -15.806; -27.142; -25.286; -22.745 eV/cell.